Entry 1:
# AsW (meta-GGA SCAN, PBEsol geometry)
# Size of the total moment = 0.0 μB/cell
# Crystal system = monoclinic
# ΔH_f (0 K) = 0.33 eV per formula unit
# Calculated total energy = -358.208 eV per cell
data_AsW
_cell_length_a 8.770
_cell_length_b 3.188
_cell_length_c 4.567
_cell_angle_alpha 90.00
_cell_angle_beta 106.85
_cell_angle_gamma 90.00
_symmetry_space_group_name_H-M 'C 1 2/m 1'
_symmetry_Int_Tables_number 12
loop_
_symmetry_equiv_pos_as_xyz
'x,y,z'
'-x,-y,-z'
'-x,y,-z'
'x,-y,z'
'x+1/2,y+1/2,z'
'-x+1/2,-y+1/2,-z'
'-x+1/2,y+1/2,-z'
'x+1/2,-y+1/2,z'
loop_
_atom_site_label
_atom_site_type_symbol
_atom_site_fract_x
_atom_site_fract_y
_atom_site_fract_z
_atom_site_occupancy
As1 As 0.119 0.000 0.328 1
W1 W 0.120 0.500 0.819 1

***

Entry 2:
# AsW (meta-GGA SCAN, PBEsol geometry)
# Size of the total moment = 0.0 μB/cell
# Crystal system = orthorhombic
# ΔH_f (0 K) = 1.43 eV per formula unit
# Calculated total energy = -176.892 eV per cell
data_AsW
_cell_length_a 3.116
_cell_length_b 5.024
_cell_length_c 4.067
_cell_angle_alpha 90.00
_cell_angle_beta 90.00
_cell_angle_gamma 90.00
_symmetry_space_group_name_H-M 'C m m m'
_symmetry_Int_Tables_number 65
_symmetry_space_group_name_Hall '-C 2 2'
loop_
_atom_site_label
_atom_site_type_symbol
_atom_site_fract_x
_atom_site_fract_y
_atom_site_fract_z
_atom_site_occupancy
As1 As 0.000 0.000 0.000 1
W1 W 0.000 0.500 0.500 1

***

Entry 3:
# As3W (meta-GGA SCAN, PBEsol geometry)
# Size of the total moment = 0.0 μB/cell
# Crystal system = orthorhombic
# ΔH_f (0 K) = 1.85 eV per formula unit
# Calculated total energy = -256.817 eV per cell
data_As3W
_cell_length_a 3.150
_cell_length_b 4.114
_cell_length_c 11.417
_cell_angle_alpha 90.00
_cell_angle_beta 90.00
_cell_angle_gamma 90.00
_symmetry_space_group_name_H-M 'I m m m'
_symmetry_Int_Tables_number 71
_symmetry_space_group_name_Hall '-I 2 2'
loop_
_atom_site_label
_atom_site_type_symbol
_atom_site_fract_x
_atom_site_fract_y
_atom_site_fract_z
_atom_site_occupancy
As1 As 0.000 0.000 0.000 1
As2 As 0.000 0.500 0.186 1
W1 W 0.000 0.000 0.500 1

***

Entry 4:
# As2W (meta-GGA SCAN, PBEsol geometry)
# Size of the total moment = 0.0 μB/cell
# Crystal system = monoclinic
# ΔH_f (0 K) = 0.21 eV per formula unit
# Calculated total energy = -439.447 eV per cell
data_As2W
_cell_length_a 10.732
_cell_length_b 3.226
_cell_length_c 6.674
_cell_angle_alpha 90.00
_cell_angle_beta 112.45
_cell_angle_gamma 90.00
_symmetry_space_group_name_H-M 'C 1 2/m 1'
_symmetry_Int_Tables_number 12
loop_
_symmetry_equiv_pos_as_xyz
'x,y,z'
'-x,-y,-z'
'-x,y,-z'
'x,-y,z'
'x+1/2,y+1/2,z'
'-x+1/2,-y+1/2,-z'
'-x+1/2,y+1/2,-z'
'x+1/2,-y+1/2,z'
loop_
_atom_site_label
_atom_site_type_symbol
_atom_site_fract_x
_atom_site_fract_y
_atom_site_fract_z
_atom_site_occupancy
As1 As 0.037 0.000 0.251 1
As2 As 0.196 0.500 0.688 1
W1 W 0.139 0.500 0.020 1

***

Entry 5:
# As2W (meta-GGA SCAN, PBEsol geometry)
# Size of the total moment = 0.0 μB/cell
# Crystal system = orthorhombic
# ΔH_f (0 K) = 0.51 eV per formula unit
# Calculated total energy = -219.125 eV per cell
data_As2W
_cell_length_a 5.685
_cell_length_b 6.459
_cell_length_c 3.018
_cell_angle_alpha 90.00
_cell_angle_beta 90.00
_cell_angle_gamma 90.00
_symmetry_space_group_name_H-M 'P n n m'
_symmetry_Int_Tables_number 58
loop_
_symmetry_equiv_pos_as_xyz
'x,y,z'
'-x,-y,-z'
'-x,-y,z'
'x,y,-z'
'x+1/2,-y+1/2,-z+1/2'
'-x+1/2,y+1/2,z+1/2'
'-x+1/2,y+1/2,-z+1/2'
'x+1/2,-y+1/2,z+1/2'
loop_
_atom_site_label
_atom_site_type_symbol
_atom_site_fract_x
_atom_site_fract_y
_atom_site_fract_z
_atom_site_occupancy
As1 As 0.182 0.136 0.000 1
W1 W 0.000 0.500 0.000 1

***

Entry 6:
# AsW (meta-GGA SCAN, PBEsol geometry)
# Size of the total moment = 0.0 μB/cell
# Crystal system = tetragonal
# ΔH_f (0 K) = 0.28 eV per formula unit
# Calculated total energy = -179.207 eV per cell
data_AsW
_cell_length_a 3.244
_cell_length_b 3.244
_cell_length_c 5.863
_cell_angle_alpha 90.00
_cell_angle_beta 90.00
_cell_angle_gamma 90.00
_symmetry_space_group_name_H-M 'P 4/n m m'
_symmetry_Int_Tables_number 129
loop_
_symmetry_equiv_pos_as_xyz
'x,y,z'
'-x,-y,-z'
'-y+1/2,x,z'
'y+1/2,-x,-z'
'-x+1/2,-y+1/2,z'
'x+1/2,y+1/2,-z'
'y,-x+1/2,z'
'-y,x+1/2,-z'
'x+1/2,-y,-z'
'-x+1/2,y,z'
'-y,-x,-z'
'y,x,z'
'-x,y+1/2,-z'
'x,-y+1/2,z'
'y+1/2,x+1/2,-z'
'-y+1/2,-x+1/2,z'
loop_
_atom_site_label
_atom_site_type_symbol
_atom_site_fract_x
_atom_site_fract_y
_atom_site_fract_z
_atom_site_occupancy
As1 As 0.250 0.250 0.149 1
W1 W 0.250 0.250 0.659 1

***

Entry 7:
# As2W (meta-GGA SCAN, PBEsol geometry)
# Size of the total moment = 0.0 μB/cell
# Crystal system = tetragonal
# ΔH_f (0 K) = 0.80 eV per formula unit
# Calculated total energy = -218.540 eV per cell
data_As2W
_cell_length_a 3.102
_cell_length_b 3.102
_cell_length_c 10.943
_cell_angle_alpha 90.00
_cell_angle_beta 90.00
_cell_angle_gamma 90.00
_symmetry_space_group_name_H-M 'I 4/m m m'
_symmetry_Int_Tables_number 139
_symmetry_space_group_name_Hall '-I 4 2'
loop_
_atom_site_label
_atom_site_type_symbol
_atom_site_fract_x
_atom_site_fract_y
_atom_site_fract_z
_atom_site_occupancy
As1 As 0.000 0.000 0.136 1
W1 W 0.000 0.000 0.500 1

***

Entry 8:
# As2W (meta-GGA SCAN, PBEsol geometry)
# Size of the total moment = 0.0 μB/cell
# Crystal system = trigonal
# ΔH_f (0 K) = 1.47 eV per formula unit
# Calculated total energy = -108.598 eV per cell
data_As2W
_cell_length_a 4.6878
_cell_length_b 4.6878
_cell_length_c 2.6537
_cell_angle_alpha 90.00
_cell_angle_beta 90.00
_cell_angle_gamma 120.00
_symmetry_space_group_name_H-M 'P -3 m 1'
_symmetry_Int_Tables_number 164
_symmetry_space_group_name_Hall '-P 3 2"'
loop_
_atom_site_label
_atom_site_type_symbol
_atom_site_fract_x
_atom_site_fract_y
_atom_site_fract_z
_atom_site_occupancy
As1 As 0.3333 0.6667 0.0407 1
W1 W 0.0000 0.0000 0.0000 1

***

Entry 9:
# As2W (meta-GGA SCAN, PBEsol geometry)
# Size of the total moment = 0.0 μB/cell
# Crystal system = trigonal
# ΔH_f (0 K) = 0.26 eV per formula unit
# Calculated total energy = -109.805 eV per cell
data_As2W
_cell_length_a 3.2252
_cell_length_b 3.2252
_cell_length_c 5.7175
_cell_angle_alpha 90.00
_cell_angle_beta 90.00
_cell_angle_gamma 120.00
_symmetry_space_group_name_H-M 'P -3 m 1'
_symmetry_Int_Tables_number 164
_symmetry_space_group_name_Hall '-P 3 2"'
loop_
_atom_site_label
_atom_site_type_symbol
_atom_site_fract_x
_atom_site_fract_y
_atom_site_fract_z
_atom_site_occupancy
As1 As 0.3333 0.6667 0.3045 1
W1 W 0.0000 0.0000 0.0000 1

***

Entry 10:
# As3W (meta-GGA SCAN, PBEsol geometry)
# Size of the total moment = 0.0 μB/cell
# Crystal system = orthorhombic
# ΔH_f (0 K) = 1.93 eV per formula unit
# Calculated total energy = -256.657 eV per cell
data_As3W
_cell_length_a 3.314
_cell_length_b 4.564
_cell_length_c 9.337
_cell_angle_alpha 90.00
_cell_angle_beta 90.00
_cell_angle_gamma 90.00
_symmetry_space_group_name_H-M 'C m m m'
_symmetry_Int_Tables_number 65
_symmetry_space_group_name_Hall '-C 2 2'
loop_
_atom_site_label
_atom_site_type_symbol
_atom_site_fract_x
_atom_site_fract_y
_atom_site_fract_z
_atom_site_occupancy
As1 As 0.000 0.000 0.000 1
As2 As 0.000 0.500 0.282 1
W1 W 0.000 0.000 0.500 1

***

Entry 11:
# As2W3 (meta-GGA SCAN, PBEsol geometry)
# Size of the total moment = 1.1 μB/cell
# Crystal system = trigonal
# ΔH_f (0 K) = 3.99 eV per formula unit
# Calculated total energy = -245.459 eV per cell
data_As2W3
_cell_length_a 4.0672
_cell_length_b 4.0672
_cell_length_c 5.7816
_cell_angle_alpha 90.00
_cell_angle_beta 90.00
_cell_angle_gamma 120.00
_symmetry_space_group_name_H-M 'P -3 m 1'
_symmetry_Int_Tables_number 164
_symmetry_space_group_name_Hall '-P 3 2"'
loop_
_atom_site_label
_atom_site_type_symbol
_atom_site_fract_x
_atom_site_fract_y
_atom_site_fract_z
_atom_site_occupancy
As1 As 0.3333 0.6667 0.3059 1
W1 W 0.0000 0.0000 0.5000 1
W2 W 0.3333 0.6667 0.8656 1

***

Entry 12:
# YAsW2 (meta-GGA SCAN, PBEsol geometry)
# Size of the total moment = 0.0 μB/cell
# Crystal system = orthorhombic
# ΔH_f (0 K) = 1.38 eV per formula unit
# Calculated total energy = -372.051 eV per cell
data_YAsW2
_cell_length_a 3.476
_cell_length_b 4.727
_cell_length_c 8.816
_cell_angle_alpha 90.00
_cell_angle_beta 90.00
_cell_angle_gamma 90.00
_symmetry_space_group_name_H-M 'I m m 2'
_symmetry_Int_Tables_number 44
loop_
_symmetry_equiv_pos_as_xyz
'x,y,z'
'-x,-y,z'
'-x,y,z'
'x,-y,z'
'x+1/2,y+1/2,z+1/2'
'-x+1/2,-y+1/2,z+1/2'
'-x+1/2,y+1/2,z+1/2'
'x+1/2,-y+1/2,z+1/2'
loop_
_atom_site_label
_atom_site_type_symbol
_atom_site_fract_x
_atom_site_fract_y
_atom_site_fract_z
_atom_site_occupancy
Y1 Y 0.000 0.000 0.000 1
As1 As 0.000 0.500 0.771 1
W1 W 0.000 0.000 0.509 1
W2 W 0.000 0.500 0.228 1

***

Question: The highest calculated total energy belongs to which entry?
Answer: number 8